Computed, not measured: an optimized crystal structure of LaSm3Cr4O12 at the PBE with a Hubbard U level of DFT.

Cell: 5.450 7.790 5.630 Å, 90.00 90.03 90.00°
Space group Pm (No. 6)
Asymmetric unit:
La 0.000 0.000 0.000 x1
Sm 0.474 0.000 0.509 x1
Sm 0.504 0.500 0.396 x1
Sm 0.974 0.500 0.893 x1
Cr 0.489 0.252 0.953 x2
Cr 0.990 0.252 0.451 x2
O 0.088 0.500 0.482 x1
O 0.195 0.204 0.744 x2
O 0.292 0.202 0.253 x2
O 0.390 0.500 0.985 x1
O 0.572 0.000 0.921 x1
O 0.694 0.303 0.658 x2
O 0.787 0.303 0.156 x2
O 0.892 0.000 0.431 x1

Output
The crystal system is monoclinic. The total energy comes out at -163.88 eV for the cell shown. The value obtained for the total magnetic moment is 0.60 μB per atom.